[1]
! SrZr2F PBE-GGA relaxed; values from VASP
&SYSTEM
  ibrav = 0, nat = 16, ntyp = 3
/
ATOMIC_SPECIES
Sr 87.62 Sr.upf
Zr 91.22 Zr.upf
F 19.00 F.upf
CELL_PARAMETERS angstrom
7.2624 0.0000 0.0000
0.0000 7.2624 0.0000
0.0000 0.0000 7.2624
ATOMIC_POSITIONS angstrom
Sr 0.0000 0.0000 0.0000
Sr 0.0000 3.6312 3.6312
Sr 3.6312 0.0000 3.6312
Sr 3.6312 3.6312 0.0000
Zr 1.8156 1.8156 1.8156
Zr 1.8156 1.8156 5.4468
Zr 1.8156 5.4468 1.8156
Zr 1.8156 5.4468 5.4468
Zr 5.4468 1.8156 1.8156
Zr 5.4468 1.8156 5.4468
Zr 5.4468 5.4468 1.8156
Zr 5.4468 5.4468 5.4468
F 0.0000 0.0000 3.6312
F 0.0000 3.6312 0.0000
F 3.6312 0.0000 0.0000
F 3.6312 3.6312 3.6312
! * ΔE_f (raw): 13.27 kcal/mol of atoms
! * ΔE to the lowest computed polymorph: 1007 meV per atom
! * raw total energy: -4.59 eV per atom

***

[2]
! RbPr2NpO6 PBE-GGA relaxed; values from VASP
&SYSTEM
  ibrav = 0, nat = 10, ntyp = 4
/
ATOMIC_SPECIES
Rb 85.47 Rb.upf
Pr 140.91 Pr.upf
Np 237.00 Np.upf
O 16.00 O.upf
CELL_PARAMETERS angstrom
3.0961 1.7875 5.4516
-3.0961 1.7875 5.4516
0.0000 -3.5751 5.4516
ATOMIC_POSITIONS angstrom
Rb 0.0000 0.0000 0.0000
Pr 0.0000 0.0000 4.1643
Pr 0.0000 0.0000 12.6297
Np 0.0000 0.0000 7.5445
O -1.5531 -0.3701 6.1233
O -0.9862 -1.6996 8.5403
O 1.0971 -1.1600 6.1233
O -0.9788 1.7039 8.5403
O 0.4561 1.5301 6.1233
O 1.9650 -0.0043 8.5403
! * ΔE_f (raw): -66.98 kcal/mol of atoms
! * raw total energy: -8.23 eV per atom

***

[3]
! NaCa2Ni PBE-GGA relaxed; values from VASP
&SYSTEM
  ibrav = 0, nat = 12, ntyp = 3
/
ATOMIC_SPECIES
Na 22.99 Na.upf
Ca 40.08 Ca.upf
Ni 58.69 Ni.upf
CELL_PARAMETERS angstrom
3.9152 0.0000 0.0000
-1.9576 3.3907 0.0000
0.0000 0.0000 31.5284
ATOMIC_POSITIONS angstrom
Na 0.0000 0.0000 0.0000
Na 0.0000 2.2604 21.0189
Na 1.9576 1.1302 10.5094
Ca 0.0000 0.0000 3.6687
Ca 0.0000 0.0000 27.8597
Ca 0.0000 2.2604 17.3502
Ca 0.0000 2.2604 24.6876
Ca 1.9576 1.1302 6.8408
Ca 1.9576 1.1302 14.1781
Ni 0.0000 0.0000 15.7642
Ni 0.0000 2.2604 5.2547
Ni 1.9576 1.1302 26.2736
! * ΔE to the lowest computed polymorph: 158 meV per atom
! * raw total energy: -2.68 eV per atom
! * DFT formation energy: 0.37 eV/f.u.

***

[4]
! HfNpCo4 PBE-GGA relaxed; values from VASP
&SYSTEM
  ibrav = 0, nat = 6, ntyp = 3
/
ATOMIC_SPECIES
Hf 178.49 Hf.upf
Np 237.00 Np.upf
Co 58.93 Co.upf
CELL_PARAMETERS angstrom
0.0000 3.4704 3.4704
3.4704 0.0000 3.4704
3.4704 3.4704 0.0000
ATOMIC_POSITIONS angstrom
Hf 0.0000 0.0000 0.0000
Np 1.7352 1.7352 1.7352
Co 4.3408 2.6001 2.6001
Co 2.6001 4.3408 2.6001
Co 2.6001 2.6001 4.3408
Co 4.3408 4.3408 4.3408
! * raw total energy: -8.73 eV per atom
! * DFT formation energy: -1.06 eV/f.u.

***

Number 1: V 23.939 A^3/atom. Number 2: V 18.103 A^3/atom. Number 3: V 34.879 A^3/atom. Number 4: V 13.933 A^3/atom.